## Ce7Pb3O2 (PBE-GGA)

Data for a relaxed Ce7Pb3O2 crystal.

Structure (POSCAR):
```
Ce7Pb3O2
1.0
2.473 -12.476 0.000
2.473 12.476 0.000
0.000 0.000 4.815
Ce Pb O
7 3 2
Direct
0.000 0.000 0.000
0.095 0.905 0.500
0.202 0.798 0.000
0.401 0.599 0.000
0.599 0.401 0.000
0.798 0.202 0.000
0.905 0.095 0.500
0.308 0.692 0.500
0.500 0.500 0.500
0.692 0.308 0.500
0.101 0.899 0.000
0.899 0.101 0.000
```

Calculated values
crystal system: orthorhombic
E_tot: -76.77 eV for the cell shown
magnetic moment: 5.324 μB/f.u.
E_form (uncorrected): -1.183 eV/atom